Density functional theory data (PBE-GGA) for a geometry-optimized MgBPH6O8 structure.

Geometry as POSCAR:
```
MgBPH6O8
1.0
7.519 4.341 4.667
-7.519 4.341 4.667
0.000 -8.682 4.667
Mg B P H O
6 6 6 36 48
direct
0.248 0.750 0.252
0.250 0.748 0.752
0.252 0.248 0.750
0.748 0.752 0.250
0.750 0.252 0.248
0.752 0.250 0.748
0.059 0.250 0.441
0.250 0.441 0.059
0.441 0.059 0.250
0.559 0.941 0.750
0.750 0.559 0.941
0.941 0.750 0.559
0.060 0.440 0.250
0.250 0.060 0.440
0.440 0.250 0.060
0.560 0.750 0.940
0.750 0.940 0.560
0.940 0.560 0.750
0.019 0.840 0.135
0.023 0.708 0.024
0.024 0.023 0.708
0.027 0.333 0.633
0.133 0.833 0.527
0.135 0.019 0.840
0.160 0.865 0.981
0.167 0.473 0.867
0.208 0.523 0.524
0.292 0.976 0.977
0.333 0.633 0.027
0.340 0.519 0.635
0.365 0.660 0.481
0.367 0.973 0.667
0.473 0.867 0.167
0.476 0.792 0.477
0.477 0.476 0.792
0.481 0.365 0.660
0.519 0.635 0.340
0.523 0.524 0.208
0.524 0.208 0.523
0.527 0.133 0.833
0.633 0.027 0.333
0.635 0.340 0.519
0.660 0.481 0.365
0.667 0.367 0.973
0.708 0.024 0.023
0.792 0.477 0.476
0.833 0.527 0.133
0.840 0.135 0.019
0.865 0.981 0.160
0.867 0.167 0.473
0.973 0.667 0.367
0.976 0.977 0.292
0.977 0.292 0.976
0.981 0.160 0.865
0.086 0.787 0.091
0.091 0.086 0.787
0.094 0.790 0.601
0.098 0.607 0.800
0.101 0.290 0.594
0.107 0.598 0.300
0.114 0.372 0.378
0.122 0.128 0.386
0.128 0.386 0.122
0.200 0.902 0.393
0.210 0.399 0.906
0.213 0.909 0.914
0.287 0.586 0.591
0.290 0.594 0.101
0.300 0.107 0.598
0.372 0.378 0.114
0.378 0.114 0.372
0.386 0.122 0.128
0.393 0.200 0.902
0.399 0.906 0.210
0.402 0.700 0.893
0.406 0.899 0.710
0.409 0.713 0.414
0.414 0.409 0.713
0.586 0.591 0.287
0.591 0.287 0.586
0.594 0.101 0.290
0.598 0.300 0.107
0.601 0.094 0.790
0.607 0.800 0.098
0.614 0.878 0.872
0.622 0.886 0.628
0.628 0.622 0.886
0.700 0.893 0.402
0.710 0.406 0.899
0.713 0.414 0.409
0.787 0.091 0.086
0.790 0.601 0.094
0.800 0.098 0.607
0.872 0.614 0.878
0.878 0.872 0.614
0.886 0.628 0.622
0.893 0.402 0.700
0.899 0.710 0.406
0.902 0.393 0.200
0.906 0.210 0.399
0.909 0.914 0.213
0.914 0.213 0.909
```

D(E_F) in states/eV/atom: 0.000
M_tot in μB/f.u.: 0.00
Energy in eV per cell: -619.79


Density functional theory data (PBE-GGA) for a geometry-optimized Mg2BHPd6 structure.

Geometry as POSCAR:
```
Mg2BHPd6
1.0
-2.890 2.904 4.088
2.890 -2.904 4.088
2.890 2.904 -4.088
Mg B H Pd
2 1 1 6
direct
0.250 0.250 0.000
0.750 0.750 0.000
0.500 0.000 0.500
0.000 0.500 0.500
0.246 0.253 0.499
0.246 0.746 0.500
0.246 0.747 0.993
0.754 0.253 0.007
0.754 0.254 0.500
0.754 0.747 0.501
```

D(E_F) in states/eV/atom: 0.136
M_tot in μB/f.u.: 0.00
Energy in eV per cell: -50.07


Density functional theory data (PBE-GGA) for a geometry-optimized Mg2BHPt6 structure.

Geometry as POSCAR:
```
Mg2BHPt6
1.0
-2.908 2.915 4.113
2.908 -2.915 4.113
2.908 2.915 -4.113
Mg B H Pt
2 1 1 6
direct
0.250 0.250 0.000
0.750 0.750 0.000
0.500 0.000 0.500
0.000 0.500 0.500
0.245 0.254 0.499
0.245 0.746 0.991
0.246 0.746 0.500
0.754 0.254 0.500
0.755 0.254 0.009
0.755 0.746 0.501
```

D(E_F) in states/eV/atom: 0.118
M_tot in μB/f.u.: 0.00
Energy in eV per cell: -55.08


Density functional theory data (PBE-GGA) for a geometry-optimized MgBH2Ru structure.

Geometry as POSCAR:
```
MgBH2Ru
1.0
3.141 0.000 0.000
0.000 3.141 0.000
0.000 0.000 6.341
Mg B H Ru
1 1 2 1
direct
0.000 0.000 0.000
0.500 0.500 0.500
0.000 0.500 0.000
0.500 0.000 0.000
0.000 0.000 0.500
```

D(E_F) in states/eV/atom: 0.633
M_tot in μB/f.u.: 0.96
Energy in eV per cell: -20.83


Density functional theory data (PBE-GGA) for a geometry-optimized MgBHS2 structure.

Geometry as POSCAR:
```
MgBHS2
1.0
3.952 0.000 0.000
0.000 3.952 0.000
0.000 0.000 4.889
Mg B H S
1 1 1 2
direct
0.000 0.000 0.000
0.000 0.000 0.500
0.500 0.500 0.000
0.000 0.500 0.500
0.500 0.000 0.500
```

Energy relative to the lowest polymorph listed for this composition in eV per atom: 0.1683
D(E_F) in states/eV/atom: 0.494
M_tot in μB/f.u.: 0.00
Energy in eV per cell: -16.41


Density functional theory data (PBE-GGA) for a geometry-optimized MgBHS2 structure.

Geometry as POSCAR:
```
MgBHS2
1.0
4.756 0.000 0.000
0.000 4.756 0.000
0.000 0.000 2.845
Mg B H S
1 1 1 2
direct
0.000 0.000 0.000
0.500 0.500 0.000
0.500 0.500 0.500
0.000 0.500 0.500
0.500 0.000 0.500
```

Energy relative to the lowest polymorph listed for this composition in eV per atom: 0.0000
D(E_F) in states/eV/atom: 0.344
M_tot in μB/f.u.: 0.00
Energy in eV per cell: -17.25